Li3Hg2 after structural relaxation. Source: Alexandria, functional PBE.

abc: 5.5894 5.5894 21.8852
angles: 90.00 90.00 120.00
Last column: nearest neighbours and their distance in Å.
Space group R-3c (No. 167, hexagonal axes)
Inequivalent atoms, fractional coordinates:
1 Li 0.0000 0.4875 0.2500  2 Hg 2.74, 4 Li 2.80
2 Hg 0.0000 0.0000 0.1843  3 Li 2.74, 1 Hg 2.87

Calculated total energy (eV/f.u.): -7.497
Magnetization (μB/f.u.): 0.00
D(E_F) (states/eV per cell): 13.98
Energy relative to the lowest polymorph listed for this composition (meV/atom): 97
Energy relative to the elements (eV per atom): -0.230

LiHg3 after structural relaxation. Source: Alexandria, functional PBE.

abc: 4.4569 4.4569 4.4603
angles: 90.00 90.00 90.00
Last column: nearest neighbours and their distance in Å.
Space group P-4m2 (No. 115)
Inequivalent atoms, fractional coordinates:
1 Li 0.0000 0.0000 0.0000  12 Hg 3.15-3.16
2 Hg 0.0000 0.5000 0.5012  8 Hg 3.15-3.16, 4 Li 3.15-3.16
3 Hg 0.5000 0.5000 0.0000  8 Hg 3.15-3.16, 4 Li 3.15

Calculated total energy (eV/f.u.): -3.476
Magnetization (μB/f.u.): 0.00
D(E_F) (states/eV per cell): 1.41
Energy relative to the elements (eV per atom): -0.164

Li5Hg4 after structural relaxation. Source: Alexandria, functional PBE.

abc: 9.3513 4.2676 8.8347
angles: 90.00 108.28 90.00
Last column: nearest neighbours and their distance in Å.
Space group C2/m (No. 12)
Inequivalent atoms, fractional coordinates:
1 Li 0.0000 0.0000 0.0000  6 Hg 2.89-2.92, 6 Li 2.99-3.04
2 Li 0.1580 0.5000 0.8771  6 Hg 2.81-2.92, 6 Li 2.90-3.14
3 Li 0.1654 0.5000 0.5517  4 Li 2.90-2.97, 8 Hg 2.92-3.13
4 Hg 0.0060 0.0000 0.3323  8 Li 2.92-3.03, 4 Hg 3.00-3.06
5 Hg 0.1670 0.5000 0.1977  9 Li 2.81-3.13, 3 Hg 3.02-3.06

Calculated total energy (eV/f.u.): -13.708
Magnetization (μB/f.u.): 0.00
D(E_F) (states/eV per cell): 6.39
Energy relative to the lowest polymorph listed for this composition (meV/atom): 0
Energy relative to the elements (eV per atom): -0.326

LiHg3 after structural relaxation. Source: Alexandria, functional PBE.

abc: 5.3255 5.3255 5.3255
angles: 90.00 90.00 90.00
Last column: nearest neighbours and their distance in Å.
Space group Pm-3m (No. 221)
Inequivalent atoms, fractional coordinates:
1 Li 0.0000 0.0000 0.0000  6 Hg 2.66
2 Hg 0.0000 0.0000 0.5000  2 Li 2.66

Calculated total energy (eV/f.u.): -2.747
Magnetization (μB/f.u.): 0.00
D(E_F) (states/eV per cell): 2.34
Energy relative to the elements (eV per atom): 0.018